Record 1
The following is a PBE-GGA calculation of crystalline Ce2PmTc2 at its relaxed geometry, from the Alexandria database.

## Properties
E_form   0.117 eV/atom
Total magnetization   0.00 μB/f.u.
Polymorph energy (0 for the lowest one)   136 meV/atom
Calculated density   7.9 Mg/m³
DFT total energy   -147.1 eV per cell

Cell: 6.355 10.786 8.220 Å, 90.00 112.64 90.00°
Space group C2/c (No. 15)
Asymmetric unit:
Ce: 0.000 0.051 0.250
Ce: 0.000 0.302 0.750
Pm: 0.000 0.375 0.250
Tc: 0.135 0.125 0.022

Record 2
The following is a PBE-GGA calculation of crystalline V3Tc2W at its relaxed geometry, from the Alexandria database.

## Properties
E_form   -0.283 eV/atom
Total magnetization   0.00 μB/f.u.
Calculated density   10.4 Mg/m³
DFT total energy   -62.7 eV per cell

Cell: 3.043 3.043 9.168 Å, 90.00 90.00 90.00°
Space group P4/mmm (No. 123)
Asymmetric unit:
V: 0.000 0.000 0.000
V: 0.000 0.000 0.329
Tc: 0.500 0.500 0.165
W: 0.500 0.500 0.500

Record 3
The following is a PBE-GGA calculation of crystalline Cs2RbTl2In at its relaxed geometry, from the Alexandria database.

## Properties
E_form   -0.033 eV/atom
Total magnetization   0.00 μB/f.u.
Calculated density   5.0 Mg/m³
DFT total energy   -20.7 eV per cell

Cell: 5.622 9.922 10.369 Å, 90.00 90.00 90.00°
Space group Pmc2_1 (No. 26)
Asymmetric unit:
Cs: 0.000 0.124 0.000
Cs: 0.500 0.176 0.637
Rb: 0.500 0.452 0.958
Tl: 0.000 0.465 0.692
Tl: 0.500 0.218 0.252
In: 0.000 0.299 0.383

Question: What is the formula in the first record?
Answer: Ce2PmTc2

Question: What is the E_form in the third record?
Answer: -0.033 eV/atom

What did the first record say?
The following is a PBE-GGA calculation of crystalline Ce2PmTc2 at its relaxed geometry, from the Alexandria database.

## Properties
E_form   0.117 eV/atom
Total magnetization   0.00 μB/f.u.
Polymorph energy (0 for the lowest one)   136 meV/atom
Calculated density   7.9 Mg/m³
DFT total energy   -147.1 eV per cell

Cell: 6.355 10.786 8.220 Å, 90.00 112.64 90.00°
Space group C2/c (No. 15)
Asymmetric unit:
Ce: 0.000 0.051 0.250
Ce: 0.000 0.302 0.750
Pm: 0.000 0.375 0.250
Tc: 0.135 0.125 0.022